[1]
# K3Nd3TiS8 PBE-GGA optimized geometry
data_K3Nd3TiS8
_space_group_name_H-M_alt 'R -3 m'
_space_group_IT_number 166
_space_group_name_Hall '-R 3 2"'
_cell_length_a 8.0951
_cell_length_b 8.0951
_cell_length_c 22.5603
_cell_angle_alpha 90.00
_cell_angle_beta 90.00
_cell_angle_gamma 120.00
loop_
_atom_site_label
_atom_site_type_symbol
_atom_site_fract_x
_atom_site_fract_y
_atom_site_fract_z
K1 K 0.0000 0.5000 0.0000
Nd1 Nd 0.0000 0.5000 0.5000
Ti1 Ti 0.0000 0.0000 0.5000
S1 S 0.0000 0.0000 0.2367
S2 S 0.0366 0.5183 0.2296
# Formation energy without anion corrections in eV per atom: -1.696
# Total DFT energy (no corrections) in eV per atom: -5.5966
# ρ in g/cm3: 3.32

[2]
# K3Nd2TmS6 PBE-GGA optimized geometry
data_K3Nd2TmS6
_space_group_name_H-M_alt 'C 1 2/m 1'
_space_group_IT_number 12
_space_group_name_Hall '-C 2y'
_cell_length_a 7.1564
_cell_length_b 12.3959
_cell_length_c 7.7670
_cell_angle_alpha 90.00
_cell_angle_beta 107.91
_cell_angle_gamma 90.00
loop_
_atom_site_label
_atom_site_type_symbol
_atom_site_fract_x
_atom_site_fract_y
_atom_site_fract_z
K1 K 0.0000 0.0000 0.0000
K2 K 0.0000 0.3323 0.0000
Nd1 Nd 0.0000 0.1665 0.5000
Tm1 Tm 0.0000 0.5000 0.5000
S1 S 0.2292 0.3390 0.7046
S2 S 0.2464 0.0000 0.7044
# Formation energy without anion corrections in eV per atom: -1.858
# Total DFT energy (no corrections) in eV per atom: -5.3635
# ρ in g/cm3: 3.89

[3]
# KNdTm4S8 PBE-GGA optimized geometry
data_KNdTm4S8
_space_group_name_H-M_alt 'R 3 m'
_space_group_IT_number 160
_space_group_name_Hall 'R 3 -2"'
_cell_length_a 8.1117
_cell_length_b 8.1117
_cell_length_c 20.4299
_cell_angle_alpha 90.00
_cell_angle_beta 90.00
_cell_angle_gamma 120.00
loop_
_atom_site_label
_atom_site_type_symbol
_atom_site_fract_x
_atom_site_fract_y
_atom_site_fract_z
K1 K 0.0000 0.0000 0.0000
Nd1 Nd 0.0000 0.0000 0.6344
Tm1 Tm 0.0000 0.0000 0.2554
Tm2 Tm 0.1726 0.3452 0.4616
S1 S 0.0000 0.0000 0.3869
S2 S 0.0000 0.0000 0.8614
S3 S 0.0373 0.5187 0.3897
S4 S 0.1733 0.3467 0.2081
# Formation energy without anion corrections in eV per atom: -1.914
# Total DFT energy (no corrections) in eV per atom: -5.9690
# ρ in g/cm3: 4.77

[4]
# K4NdU3S12 PBE-GGA optimized geometry
data_K4NdU3S12
_space_group_name_H-M_alt 'I m -3 m'
_space_group_IT_number 229
_space_group_name_Hall '-I 4 2 3'
_cell_length_a 10.4804
_cell_length_b 10.4804
_cell_length_c 10.4804
_cell_angle_alpha 90.00
_cell_angle_beta 90.00
_cell_angle_gamma 90.00
loop_
_atom_site_label
_atom_site_type_symbol
_atom_site_fract_x
_atom_site_fract_y
_atom_site_fract_z
K1 K 0.2500 0.2500 0.2500
Nd1 Nd 0.0000 0.0000 0.0000
U1 U 0.0000 0.0000 0.5000
S1 S 0.0000 0.0000 0.2632
S2 S 0.0000 0.2500 0.5000
# Formation energy without anion corrections in eV per atom: -1.352
# Total DFT energy (no corrections) in eV per atom: -5.9791
# ρ in g/cm3: 4.04

[5]
# K2Nd2US6 PBE-GGA optimized geometry
data_K2Nd2US6
_space_group_name_H-M_alt 'C 1 2/m 1'
_space_group_IT_number 12
_space_group_name_Hall '-C 2y'
_cell_length_a 7.1735
_cell_length_b 12.3487
_cell_length_c 7.8846
_cell_angle_alpha 90.00
_cell_angle_beta 107.74
_cell_angle_gamma 90.00
loop_
_atom_site_label
_atom_site_type_symbol
_atom_site_fract_x
_atom_site_fract_y
_atom_site_fract_z
K1 K 0.0000 0.1693 0.0000
Nd1 Nd 0.0000 0.3339 0.5000
U1 U 0.0000 0.0000 0.5000
S1 S 0.2248 0.1613 0.6980
S2 S 0.2484 0.0000 0.3025
# Formation energy without anion corrections in eV per atom: -1.716
# Total DFT energy (no corrections) in eV per atom: -6.0596
# ρ in g/cm3: 3.98

[6]
# K3NdU2S6 PBE-GGA optimized geometry
data_K3NdU2S6
_space_group_name_H-M_alt 'C 1 2/m 1'
_space_group_IT_number 12
_space_group_name_Hall '-C 2y'
_cell_length_a 7.0924
_cell_length_b 12.2854
_cell_length_c 7.7928
_cell_angle_alpha 90.00
_cell_angle_beta 107.68
_cell_angle_gamma 90.00
loop_
_atom_site_label
_atom_site_type_symbol
_atom_site_fract_x
_atom_site_fract_y
_atom_site_fract_z
K1 K 0.0000 0.0000 0.0000
K2 K 0.0000 0.3353 0.0000
Nd1 Nd 0.0000 0.5000 0.5000
U1 U 0.0000 0.1668 0.5000
S1 S 0.2253 0.0000 0.7053
S2 S 0.2402 0.3284 0.7055
# Formation energy without anion corrections in eV per atom: -1.531
# Total DFT energy (no corrections) in eV per atom: -6.1480
# ρ in g/cm3: 4.77

[7]
# K3Nd3US8 PBE-GGA optimized geometry
data_K3Nd3US8
_space_group_name_H-M_alt 'R -3 m'
_space_group_IT_number 166
_space_group_name_Hall '-R 3 2"'
_cell_length_a 8.3053
_cell_length_b 8.3053
_cell_length_c 22.4639
_cell_angle_alpha 90.00
_cell_angle_beta 90.00
_cell_angle_gamma 120.00
loop_
_atom_site_label
_atom_site_type_symbol
_atom_site_fract_x
_atom_site_fract_y
_atom_site_fract_z
K1 K 0.0000 0.5000 0.0000
Nd1 Nd 0.0000 0.5000 0.5000
U1 U 0.0000 0.0000 0.5000
S1 S 0.0000 0.0000 0.2357
S2 S 0.0153 0.5077 0.2321
# Formation energy without anion corrections in eV per atom: -1.756
# Total DFT energy (no corrections) in eV per atom: -5.8825
# ρ in g/cm3: 3.88

[8]
# K3NdU3S8 PBE-GGA optimized geometry
data_K3NdU3S8
_space_group_name_H-M_alt 'R -3 m'
_space_group_IT_number 166
_space_group_name_Hall '-R 3 2"'
_cell_length_a 8.1191
_cell_length_b 8.1191
_cell_length_c 22.4441
_cell_angle_alpha 90.00
_cell_angle_beta 90.00
_cell_angle_gamma 120.00
loop_
_atom_site_label
_atom_site_type_symbol
_atom_site_fract_x
_atom_site_fract_y
_atom_site_fract_z
K1 K 0.0000 0.5000 0.0000
Nd1 Nd 0.0000 0.0000 0.5000
U1 U 0.0000 0.5000 0.5000
S1 S 0.0000 0.0000 0.2337
S2 S 0.0101 0.5050 0.7666
# Formation energy without anion corrections in eV per atom: -1.515
# Total DFT energy (no corrections) in eV per atom: -6.5113
# ρ in g/cm3: 4.79

[9]
# K2NdVS4 PBE-GGA optimized geometry
data_K2NdVS4
_space_group_name_H-M_alt 'I -4'
_space_group_IT_number 82
_space_group_name_Hall 'I -4'
_cell_length_a 7.1977
_cell_length_b 7.1977
_cell_length_c 9.5937
_cell_angle_alpha 90.00
_cell_angle_beta 90.00
_cell_angle_gamma 90.00
loop_
_atom_site_label
_atom_site_type_symbol
_atom_site_fract_x
_atom_site_fract_y
_atom_site_fract_z
K1 K 0.0000 0.0000 0.0000
K2 K 0.0000 0.5000 0.2500
Nd1 Nd 0.0000 0.0000 0.5000
V1 V 0.0000 0.5000 0.7500
S1 S 0.1757 0.7240 0.6383
# Formation energy without anion corrections in eV per atom: -1.250
# Total DFT energy (no corrections) in eV per atom: -5.3239
# ρ in g/cm3: 2.68

[10]
# KNdVS4 PBE-GGA optimized geometry
data_KNdVS4
_space_group_name_H-M_alt 'P 1 21/m 1'
_space_group_IT_number 11
_space_group_name_Hall '-P 2yb'
_cell_length_a 6.6842
_cell_length_b 6.5843
_cell_length_c 8.8201
_cell_angle_alpha 90.00
_cell_angle_beta 107.35
_cell_angle_gamma 90.00
loop_
_atom_site_label
_atom_site_type_symbol
_atom_site_fract_x
_atom_site_fract_y
_atom_site_fract_z
K1 K 0.2278 0.2500 0.4361
Nd1 Nd 0.2733 0.2500 0.9506
V1 V 0.2718 0.7500 0.1780
S1 S 0.0756 0.7500 0.3372
S2 S 0.0858 0.7500 0.9268
S3 S 0.4993 0.5029 0.7842
# Formation energy without anion corrections in eV per atom: -1.379
# Total DFT energy (no corrections) in eV per atom: -5.8776
# ρ in g/cm3: 3.25

[11]
# KNdY4S8 PBE-GGA optimized geometry
data_KNdY4S8
_space_group_name_H-M_alt 'R 3 m'
_space_group_IT_number 160
_space_group_name_Hall 'R 3 -2"'
_cell_length_a 8.2296
_cell_length_b 8.2296
_cell_length_c 20.5262
_cell_angle_alpha 90.00
_cell_angle_beta 90.00
_cell_angle_gamma 120.00
loop_
_atom_site_label
_atom_site_type_symbol
_atom_site_fract_x
_atom_site_fract_y
_atom_site_fract_z
K1 K 0.0000 0.0000 0.0000
Nd1 Nd 0.0000 0.0000 0.6322
Y1 Y 0.0000 0.0000 0.2533
Y2 Y 0.1725 0.3451 0.4597
S1 S 0.0000 0.0000 0.3851
S2 S 0.0000 0.0000 0.8605
S3 S 0.0391 0.5196 0.3862
S4 S 0.1744 0.3488 0.2068
# Formation energy without anion corrections in eV per atom: -1.929
# Total DFT energy (no corrections) in eV per atom: -6.5532
# ρ in g/cm3: 3.29

[12]
# K2NdYS4 PBE-GGA optimized geometry
data_K2NdYS4
_space_group_name_H-M_alt 'P 1 2/m 1'
_space_group_IT_number 10
_space_group_name_Hall '-P 2y'
_cell_length_a 7.1494
_cell_length_b 4.1275
_cell_length_c 7.7625
_cell_angle_alpha 90.00
_cell_angle_beta 107.86
_cell_angle_gamma 90.00
loop_
_atom_site_label
_atom_site_type_symbol
_atom_site_fract_x
_atom_site_fract_y
_atom_site_fract_z
K1 K 0.0000 0.0000 0.0000
K2 K 0.5000 0.5000 0.0000
Nd1 Nd 0.0000 0.5000 0.5000
Y1 Y 0.5000 0.0000 0.5000
S1 S 0.2425 0.0000 0.7062
S2 S 0.2726 0.5000 0.2968
# Formation energy without anion corrections in eV per atom: -1.868
# Total DFT energy (no corrections) in eV per atom: -5.6099
# ρ in g/cm3: 3.35

[13]
# K3NdY2S6 PBE-GGA optimized geometry
data_K3NdY2S6
_space_group_name_H-M_alt 'C 1 2/m 1'
_space_group_IT_number 12
_space_group_name_Hall '-C 2y'
_cell_length_a 7.1082
_cell_length_b 12.3119
_cell_length_c 7.7571
_cell_angle_alpha 90.00
_cell_angle_beta 107.80
_cell_angle_gamma 90.00
loop_
_atom_site_label
_atom_site_type_symbol
_atom_site_fract_x
_atom_site_fract_y
_atom_site_fract_z
K1 K 0.0000 0.0000 0.0000
K2 K 0.0000 0.3341 0.0000
Nd1 Nd 0.0000 0.5000 0.5000
Y1 Y 0.0000 0.1668 0.5000
S1 S 0.2267 0.0000 0.7038
S2 S 0.2386 0.3294 0.7038
# Formation energy without anion corrections in eV per atom: -1.876
# Total DFT energy (no corrections) in eV per atom: -5.6892
# ρ in g/cm3: 3.25

[14]
# K3Nd2YS6 PBE-GGA optimized geometry
data_K3Nd2YS6
_space_group_name_H-M_alt 'C 1 2/m 1'
_space_group_IT_number 12
_space_group_name_Hall '-C 2y'
_cell_length_a 7.1883
_cell_length_b 12.4510
_cell_length_c 7.7737
_cell_angle_alpha 90.00
_cell_angle_beta 107.97
_cell_angle_gamma 90.00
loop_
_atom_site_label
_atom_site_type_symbol
_atom_site_fract_x
_atom_site_fract_y
_atom_site_fract_z
K1 K 0.0000 0.0000 0.0000
K2 K 0.0000 0.3326 0.0000
Nd1 Nd 0.0000 0.1666 0.5000
Y1 Y 0.0000 0.5000 0.5000
S1 S 0.2314 0.3372 0.7057
S2 S 0.2431 0.0000 0.7055
# Formation energy without anion corrections in eV per atom: -1.862
# Total DFT energy (no corrections) in eV per atom: -5.5338
# ρ in g/cm3: 3.45

[15]
# K2NdZn2S4 PBE-GGA optimized geometry
data_K2NdZn2S4
_space_group_name_H-M_alt 'C 1 2/m 1'
_space_group_IT_number 12
_space_group_name_Hall '-C 2y'
_cell_length_a 15.8872
_cell_length_b 3.9671
_cell_length_c 7.8884
_cell_angle_alpha 90.00
_cell_angle_beta 113.33
_cell_angle_gamma 90.00
loop_
_atom_site_label
_atom_site_type_symbol
_atom_site_fract_x
_atom_site_fract_y
_atom_site_fract_z
K1 K 0.1281 0.0000 0.0579
Nd1 Nd 0.0000 0.0000 0.5000
Zn1 Zn 0.1850 0.5000 0.5166
S1 S 0.0363 0.5000 0.2781
S2 S 0.1945 0.0000 0.7052
# Formation energy without anion corrections in eV per atom: -1.138
# Total DFT energy (no corrections) in eV per atom: -4.0289
# ρ in g/cm3: 3.50

[16]
# K3Nd3ZrS8 PBE-GGA optimized geometry
data_K3Nd3ZrS8
_space_group_name_H-M_alt 'R -3 m'
_space_group_IT_number 166
_space_group_name_Hall '-R 3 2"'
_cell_length_a 8.1809
_cell_length_b 8.1809
_cell_length_c 22.5393
_cell_angle_alpha 90.00
_cell_angle_beta 90.00
_cell_angle_gamma 120.00
loop_
_atom_site_label
_atom_site_type_symbol
_atom_site_fract_x
_atom_site_fract_y
_atom_site_fract_z
K1 K 0.0000 0.5000 0.0000
Nd1 Nd 0.0000 0.5000 0.5000
Zr1 Zr 0.0000 0.0000 0.5000
S1 S 0.0000 0.0000 0.2360
S2 S 0.0252 0.5126 0.2315
# Formation energy without anion corrections in eV per atom: -1.788
# Total DFT energy (no corrections) in eV per atom: -5.7321
# ρ in g/cm3: 3.42

[17]
# K4Nd3ZrS8 PBE-GGA optimized geometry
data_K4Nd3ZrS8
_space_group_name_H-M_alt 'R -3 m'
_space_group_IT_number 166
_space_group_name_Hall '-R 3 2"'
_cell_length_a 8.1756
_cell_length_b 8.1756
_cell_length_c 22.2198
_cell_angle_alpha 90.00
_cell_angle_beta 90.00
_cell_angle_gamma 120.00
loop_
_atom_site_label
_atom_site_type_symbol
_atom_site_fract_x
_atom_site_fract_y
_atom_site_fract_z
K1 K 0.0000 0.0000 0.0000
K2 K 0.0000 0.5000 0.0000
Nd1 Nd 0.0000 0.5000 0.5000
Zr1 Zr 0.0000 0.0000 0.5000
S1 S 0.0000 0.0000 0.2378
S2 S 0.0209 0.5105 0.2344
# Formation energy without anion corrections in eV per atom: -1.732
# Total DFT energy (no corrections) in eV per atom: -5.4982
# ρ in g/cm3: 3.63

[18]
# KNdSb PBE-GGA optimized geometry
data_KNdSb
_space_group_name_H-M_alt 'R -3 m'
_space_group_IT_number 166
_space_group_name_Hall '-R 3 2"'
_cell_length_a 5.1518
_cell_length_b 5.1518
_cell_length_c 38.5886
_cell_angle_alpha 90.00
_cell_angle_beta 90.00
_cell_angle_gamma 120.00
loop_
_atom_site_label
_atom_site_type_symbol
_atom_site_fract_x
_atom_site_fract_y
_atom_site_fract_z
K1 K 0.0000 0.0000 0.1121
Nd1 Nd 0.0000 0.0000 0.3021
Sb1 Sb 0.0000 0.0000 0.3889
# Formation energy without anion corrections in eV per atom: -0.561
# Total DFT energy (no corrections) in eV per atom: -3.8901
# ρ in g/cm3: 3.43

[19]
# K4Nd3SbSe8 PBE-GGA optimized geometry
data_K4Nd3SbSe8
_space_group_name_H-M_alt 'R -3 m'
_space_group_IT_number 166
_space_group_name_Hall '-R 3 2"'
_cell_length_a 8.6648
_cell_length_b 8.6648
_cell_length_c 23.0622
_cell_angle_alpha 90.00
_cell_angle_beta 90.00
_cell_angle_gamma 120.00
loop_
_atom_site_label
_atom_site_type_symbol
_atom_site_fract_x
_atom_site_fract_y
_atom_site_fract_z
K1 K 0.0000 0.0000 0.0000
K2 K 0.0000 0.5000 0.0000
Nd1 Nd 0.0000 0.5000 0.5000
Sb1 Sb 0.0000 0.0000 0.5000
Se1 Se 0.0000 0.0000 0.2373
Se2 Se 0.0057 0.5029 0.2362
# Formation energy without anion corrections in eV per atom: -1.487
# Total DFT energy (no corrections) in eV per atom: -4.6552
# ρ in g/cm3: 4.46

[20]
# K3Nd3SbSe8 PBE-GGA optimized geometry
data_K3Nd3SbSe8
_space_group_name_H-M_alt 'R -3 m'
_space_group_IT_number 166
_space_group_name_Hall '-R 3 2"'
_cell_length_a 8.5627
_cell_length_b 8.5627
_cell_length_c 23.5183
_cell_angle_alpha 90.00
_cell_angle_beta 90.00
_cell_angle_gamma 120.00
loop_
_atom_site_label
_atom_site_type_symbol
_atom_site_fract_x
_atom_site_fract_y
_atom_site_fract_z
K1 K 0.0000 0.5000 0.0000
Nd1 Nd 0.0000 0.5000 0.5000
Sb1 Sb 0.0000 0.0000 0.5000
Se1 Se 0.0000 0.0000 0.2367
Se2 Se 0.0170 0.5085 0.2338
# Formation energy without anion corrections in eV per atom: -1.416
# Total DFT energy (no corrections) in eV per atom: -4.7219
# ρ in g/cm3: 4.35